## SrGdCuAu (PBE-GGA)

Data for an optimized crystal structure of SrGdCuAu.

## Properties
V in Å³ per cell: 99.7
DFT formation energy in eV per formula unit: -1.50
Symmetry: F-43m, No. 216

a b c (Å): 5.2047 5.2047 5.2047
angles (deg): 60.00 60.00 60.00
With the nearest neighbours (Å) after each atom.
Atoms (fractional coordinates):
Sr1 0.0000 0.0000 0.0000  4 Cu 3.19, 4 Au 3.19
Gd1 0.5000 0.5000 0.5000  4 Cu 3.19, 4 Au 3.19
Au1 0.2500 0.2500 0.2500  4 Sr 3.19, 4 Gd 3.19
Cu1 0.7500 0.7500 0.7500  4 Gd 3.19, 4 Sr 3.19